Here is a relaxed Rb2Zr3S6 crystal from Alexandria via LeMat-Bulk. Energies are from PBE.

```
11
Lattice="6.147 0.000 1.832 3.073 5.554 0.916 -0.234 0.000 8.273" Properties=species:S:1:pos:R:3 pbc="T T T"
S 4.301 3.713 8.049
S 1.629 0.000 2.062
S 1.228 1.841 7.134
S 4.685 1.841 2.971
S 4.284 0.000 8.043
S 7.759 3.713 3.887
Rb 2.956 3.703 5.052
Rb 6.030 1.851 5.968
Zr 0.000 0.000 0.000
Zr 3.073 1.853 0.916
Zr 6.147 3.701 1.832
```

Calculated values
Raw formation energy, meV/atom: -1556
M_tot, μB/f.u.: 0.00


Here is a relaxed Rb3Cd2Hg7 crystal from Alexandria via LeMat-Bulk. Energies are from PBE.

```
12
Lattice="6.336 0.000 1.983 2.858 5.655 1.983 0.044 0.027 10.973" Properties=species:S:1:pos:R:3 pbc="T T T"
Hg 7.090 2.335 5.354
Hg 3.957 0.407 9.586
Hg 5.282 5.275 5.354
Hg 4.619 2.841 7.470
Hg 3.795 2.335 4.322
Hg 5.443 3.348 10.617
Hg 2.148 3.348 9.586
Cd 3.144 1.934 12.184
Cd 6.095 3.749 2.756
Rb 7.909 4.865 8.073
Rb 0.000 0.000 0.000
Rb 1.330 0.818 6.866
```

Calculated values
M_tot, μB/f.u.: 0.00
Formation enthalpy at 0 K, meV per atom: -159


Here is a relaxed MnCrSbSe2 crystal from Alexandria via LeMat-Bulk. Energies are from PBE.

```
5
Lattice="4.814 0.000 0.000 0.000 4.710 0.000 0.000 0.000 4.814" Properties=species:S:1:pos:R:3 pbc="T T T"
Se 0.000 0.000 2.407
Se 2.407 0.000 0.000
Cr 0.000 2.355 0.000
Mn 0.000 0.000 0.000
Sb 2.407 2.355 2.407
```

Calculated values
Raw formation energy, meV/atom: 408
M_tot, μB/f.u.: 0.80


Here is a relaxed Li2LaMo crystal from Alexandria via LeMat-Bulk. Energies are from PBE.

```
4
Lattice="2.799 0.000 0.000 0.000 2.799 0.000 0.000 0.000 10.124" Properties=species:S:1:pos:R:3 pbc="T T T"
Mo 1.400 1.400 2.531
Li 0.000 0.000 4.675
Li 0.000 0.000 0.387
La 1.400 1.400 7.593
```

Calculated values
Excess energy over the best structure of this formula in the dataset, meV per atom: 161.0
M_tot, μB/f.u.: 0.00
Formation enthalpy at 0 K, meV per atom: 573


Here is a relaxed PmGeSb crystal from Alexandria via LeMat-Bulk. Energies are from PBE.

```
6
Lattice="-5.127 -2.523 -1.146 4.094 -3.055 2.805 -1.324 4.475 3.692" Properties=species:S:1:pos:R:3 pbc="T T T"
Pm -4.841 -2.539 -1.023
Pm -3.198 -0.435 1.811
Sb 1.079 -2.881 1.514
Sb 2.723 -0.776 4.348
Ge 0.107 -0.625 3.226
Ge -1.537 -2.730 0.393
```

Calculated values
Raw formation energy, meV/atom: -616
Excess energy over the best structure of this formula in the dataset, meV per atom: 154.1
M_tot, μB/f.u.: 0.00


Here is a relaxed K2ErTlS4 crystal from Alexandria via LeMat-Bulk. Energies are from PBE.

```
16
Lattice="8.385 -0.086 -0.010 -0.091 8.385 -0.010 -4.076 -4.079 5.888" Properties=species:S:1:pos:R:3 pbc="T T T"
S 4.297 0.196 3.127
S 0.023 0.294 2.771
S 4.194 3.926 3.096
S -0.080 4.024 2.740
S 2.403 2.133 5.705
S 6.469 2.101 0.183
S -2.252 2.119 5.684
S 1.814 2.087 0.162
K -2.038 -2.039 2.944
K 4.147 4.149 -0.010
K 2.154 -2.082 2.939
K 4.192 -0.043 -0.005
Tl 2.109 2.110 2.933
Tl 4.309 -4.164 5.877
Er 6.301 2.067 2.928
Er -0.046 4.192 -0.005
```

Calculated values
Raw formation energy, meV/atom: -1167
M_tot, μB/f.u.: 0.00


Here is a relaxed Zn2PRu crystal from Alexandria via LeMat-Bulk. Energies are from PBE.

```
4
Lattice="4.533 1.824 -0.601 0.427 4.775 -1.121 -2.382 -2.727 3.336" Properties=species:S:1:pos:R:3 pbc="T T T"
Ru 2.480 3.299 -0.861
P 0.000 0.000 0.000
Zn 2.316 1.198 0.937
Zn 0.262 2.674 0.677
```

Calculated values
M_tot, μB/f.u.: 0.00
Formation enthalpy at 0 K, meV per atom: -6


Here is a relaxed BC2 crystal from Alexandria via LeMat-Bulk. Energies are from PBE.

```
12
Lattice="1.009 6.412 -2.326 5.466 4.321 -0.437 -3.868 -5.695 -1.158" Properties=species:S:1:pos:R:3 pbc="T T T"
C 0.033 -0.957 -1.333
C 3.309 4.353 -2.627
C 2.546 3.054 -2.272
C 4.027 6.700 -1.740
C 3.223 5.381 -1.408
C 3.150 2.269 -0.989
C 3.400 7.400 -2.971
C 0.051 1.978 -1.654
B 1.028 3.257 -1.777
B -0.792 -2.271 -1.027
B 6.312 10.517 -2.740
B 0.941 1.574 -0.414
```

Calculated values
Excess energy over the best structure of this formula in the dataset, meV per atom: 67.3
M_tot, μB/f.u.: 0.00
Formation enthalpy at 0 K, meV per atom: 307


> Number 6 is which compound?

K2ErTlS4